{"formula": "Li2CaPdI", "functional": "PBE", "state": "relaxed", "m_tot_mub_per_atom": 0.00, "total_energy_ev_per_atom": -2.75, "e_form_raw_ev_per_atom": -0.24, "lattice": [[4.798, 0.000, 0.000], [0.000, 4.798, 0.000], [0.000, 0.000, 5.604]], "species": ["Li", "Li", "Ca", "Pd", "I"], "frac_coords": [[0.000, 0.500, 0.000], [0.500, 0.000, 0.000], [0.000, 0.000, 0.500], [0.500, 0.500, 0.000], [0.500, 0.500, 0.500]]}